Entry from the Alexandria database: crystalline Sr2LiMg at its relaxed geometry (PBE-GGA).

Computed properties:
DOS at the Fermi energy ... 4.563 states/eV per cell
Energy of formation from the pure elements ... 0.14 eV/atom

Cell and atoms, written as POSCAR:
```
Sr2LiMg
1.0
-6.756 8.686 -3.021
-7.585 6.024 -6.032
-9.555 5.741 -2.443
Sr Mg Li
2 1 1
Direct
0.498 0.498 0.498 Sr
0.002 0.002 0.002 Sr
0.750 0.750 0.750 Mg
0.250 0.250 0.250 Li
```